1.
A relaxed Cu2AgSn crystal, computed with PBE.

Output
* E_tot: -0.2530 Ry per atom

Cell lengths 4.5118, 4.5118, 4.5118 Å; angles 60.00, 60.00, 60.00 degrees
Fractional positions:
1 Ag 0.2500 0.2500 0.2500
2 Cu 0.0000 0.0000 0.0000
3 Sn 0.5000 0.5000 0.5000
4 Cu 0.7500 0.7500 0.7500

2.
A relaxed RbNdP4O12 crystal, computed with PBE.

Output
* offset from the most stable computed form: 0.5 kJ/mol of atoms
* total moment: 0.0 μB per cell

Cell lengths 7.4022, 7.4022, 10.5962 Å; angles 100.99, 100.99, 116.37 degrees
Fractional positions:
1 O 0.3619 0.8434 0.0773
2 O 0.0313 0.2788 0.5702
3 O 0.0076 0.9115 0.1062
4 O 0.8664 0.5089 0.5932
5 O 0.8213 0.8247 0.6054
6 O 0.9687 0.7212 0.4298
7 O 0.5885 0.4924 0.3938
8 Rb 0.6845 0.8155 0.2500
9 O 0.4115 0.5076 0.6062
10 O 0.0089 0.3664 0.0932
11 O 0.3434 0.8619 0.5773
12 P 0.8670 0.7065 0.9938
13 O 0.7526 0.1993 0.6821
14 O 0.6381 0.1566 0.9227
15 O 0.3007 0.7474 0.8179
16 O 0.1787 0.1753 0.3946
17 O 0.9911 0.6336 0.9068
18 Nd 0.3784 0.1216 0.2500
19 P 0.7632 0.3064 0.0635
20 P 0.2065 0.3670 0.4938
21 P 0.1330 0.2935 0.0062
22 O 0.6566 0.1381 0.4227
23 P 0.1936 0.7368 0.4365
24 O 0.1336 0.4911 0.4068
25 O 0.9924 0.0885 0.8938
26 O 0.6753 0.6787 0.8946
27 P 0.2368 0.6936 0.9365
28 O 0.7788 0.5313 0.0702
29 P 0.8064 0.2632 0.5635
30 Nd 0.6216 0.8784 0.7500
31 P 0.7935 0.6330 0.5062
32 Rb 0.3155 0.1845 0.7500
33 O 0.2474 0.8007 0.3179
34 O 0.6993 0.2526 0.1821
35 O 0.3247 0.3213 0.1054
36 O 0.2212 0.4687 0.9298

3.
A relaxed LuTlFeTc crystal, computed with PBE.

Output
* offset from the most stable computed form: 0.0 kJ/mol of atoms
* total moment: 2.8 μB per cell

Cell lengths 4.6773, 4.6773, 4.6773 Å; angles 60.00, 60.00, 60.00 degrees
Fractional positions:
1 Tc 0.2500 0.2500 0.2500
2 Lu 0.5000 0.5000 0.5000
3 Tl 0.0000 0.0000 0.0000
4 Fe 0.7500 0.7500 0.7500

4.
A relaxed Hf4Sb2CN crystal, computed with PBE.

Output
* E_tot: -0.6672 Ry per atom
* total moment: 0.0 μB per cell

Cell lengths 3.4283, 3.4283, 13.4802 Å; angles 90.00, 90.00, 120.00 degrees
Fractional positions:
1 Hf 0.3333 0.6667 0.0883
2 Hf 0.3333 0.6667 0.4151
3 N 0.0000 0.0000 0.5000
4 C 0.0000 0.0000 0.0000
5 Hf 0.6667 0.3333 0.9117
6 Hf 0.6667 0.3333 0.5849
7 Sb 0.6667 0.3333 0.2533
8 Sb 0.3333 0.6667 0.7467

5.
A relaxed ErTm2Mg4Al2 crystal, computed with PBE.

Output
* E_tot: -0.2370 Ry per atom
* total moment: 0.0 μB per cell

Cell lengths 4.5379, 7.4178, 7.4178 Å; angles 120.11, 90.00, 90.00 degrees
Fractional positions:
1 Mg 0.5000 0.7508 0.0000
2 Er 0.0000 0.5619 0.5619
3 Mg 0.5000 0.2493 0.2493
4 Mg 0.5000 0.0000 0.7508
5 Al 0.5000 0.6666 0.3328
6 Al 0.5000 0.3328 0.6666
7 Mg 0.0000 0.0008 0.0008
8 Tm 0.0000 0.4380 0.9997
9 Tm 0.0000 0.9997 0.4380

6.
A relaxed RbErTeS crystal, computed with PBE.

Output
* E_tot: -0.3509 Ry per atom
* total moment: 0.0 μB per cell

Cell lengths 8.5056, 8.5056, 8.5056 Å; angles 28.90, 28.90, 28.90 degrees
Fractional positions:
1 Er 0.5088 0.5088 0.5088
2 Te 0.7673 0.7673 0.7673
3 S 0.2304 0.2304 0.2304
4 Rb 0.9935 0.9935 0.9935

7.
A relaxed LiCuMoPb crystal, computed with PBE.

Output
* offset from the most stable computed form: 5.2 kJ/mol of atoms
* total moment: 2.0 μB per cell

Cell lengths 4.5856, 4.5856, 4.5856 Å; angles 60.00, 60.00, 60.00 degrees
Fractional positions:
1 Li 0.5000 0.5000 0.5000
2 Mo 0.2500 0.2500 0.2500
3 Pb 0.0000 0.0000 0.0000
4 Cu 0.7500 0.7500 0.7500

8.
A relaxed PrAl2Hg crystal, computed with PBE.

Output
* offset from the most stable computed form: 2.3 kJ/mol of atoms
* total moment: 0.0 μB per cell

Cell lengths 6.7449, 6.7449, 4.5813 Å; angles 90.00, 90.00, 118.75 degrees
Fractional positions:
1 Al 0.2143 0.3551 0.7500
2 Al 0.7857 0.6449 0.2500
3 Al 0.6449 0.7857 0.7500
4 Pr 0.8421 0.1579 0.2500
5 Hg 0.6522 0.3478 0.7500
6 Pr 0.1579 0.8421 0.7500
7 Hg 0.3478 0.6522 0.2500
8 Al 0.3551 0.2143 0.2500

9.
A relaxed Sm2Ta2I2O7 crystal, computed with PBE.

Output
* E_tot: -0.5967 Ry per atom
* total moment: 0.0 μB per cell

Cell lengths 8.1451, 8.1451, 7.0627 Å; angles 112.60, 112.60, 28.15 degrees
Fractional positions:
1 O 0.1720 0.1720 0.9311
2 I 0.3321 0.3321 0.4407
3 Ta 0.9676 0.9676 0.2030
4 O 0.5441 0.5441 0.8356
5 Ta 0.0324 0.0324 0.7970
6 Sm 0.6874 0.6874 0.1387
7 O 0.9219 0.9219 0.8556
8 O 0.4559 0.4559 0.1644
9 O 0.8280 0.8280 0.0689
10 Sm 0.3126 0.3126 0.8613
11 I 0.6679 0.6679 0.5593
12 O 0.0781 0.0781 0.1444
13 O 0.0000 0.0000 0.5000

10.
A relaxed Tb2Ge2O7 crystal, computed with PBE.

Output
* E_tot: -0.5448 Ry per atom
* total moment: 0.0 μB per cell

Cell lengths 6.7689, 6.8514, 6.7094 Å; angles 86.55, 92.95, 115.26 degrees
Fractional positions:
1 O 0.9381 0.7263 0.4096
2 Tb 0.8303 0.3593 0.3733
3 O 0.7031 0.9870 0.5072
4 O 0.4173 0.2374 0.4504
5 Tb 0.3229 0.8537 0.4337
6 Ge 0.7560 0.5002 0.8718
7 Ge 0.7933 0.8730 0.3171
8 O 0.2821 0.0039 0.1454
9 O 0.5512 0.7427 0.1712
10 Tb 0.2988 0.3555 0.1282
11 Ge 0.3133 0.3496 0.6261
12 O 0.9276 0.7839 0.8609
13 O 0.1973 0.4831 0.4535
14 O 0.1402 0.1980 0.8144
15 O 0.3815 0.8946 0.7681
16 Ge 0.1964 0.8195 0.9594
17 O 0.6434 0.3727 0.0968
18 Tb 0.7510 0.0048 0.8508
19 O 0.8002 0.3333 0.7154
20 O 0.9261 0.1231 0.1758
21 O 0.0965 0.5513 0.0584
22 O 0.5273 0.5540 0.7666

11.
A relaxed ZrPb crystal, computed with PBE.

Output
* E_tot: -0.4603 Ry per atom
* total moment: 0.0 μB per cell

Cell lengths 3.3838, 3.3838, 4.3143 Å; angles 90.26, 90.26, 78.05 degrees
Fractional positions:
1 Zr 0.0000 0.0000 0.5000
2 Pb 0.5000 0.5000 0.0000

12.
A relaxed MgZrCoGe crystal, computed with PBE.

Output
* offset from the most stable computed form: 0.0 kJ/mol of atoms
* total moment: 0.0 μB per cell

Cell lengths 4.4721, 4.4721, 4.4721 Å; angles 60.00, 60.00, 60.00 degrees
Fractional positions:
1 Ge 0.0000 0.0000 0.0000
2 Zr 0.5000 0.5000 0.5000
3 Mg 0.2500 0.2500 0.2500
4 Co 0.7500 0.7500 0.7500

13.
A relaxed TaBeCoAs crystal, computed with PBE.

Output
* offset from the most stable computed form: 0.0 kJ/mol of atoms
* total moment: 0.2 μB per cell

Cell lengths 4.2129, 4.2129, 4.2129 Å; angles 60.00, 60.00, 60.00 degrees
Site moments in Bohr magnetons follow the coordinates.
Fractional positions:
1 Be 0.5000 0.5000 0.5000  -0.01
2 Ta 0.2500 0.2500 0.2500  0.03
3 Co 0.7500 0.7500 0.7500  0.26
4 As 0.0000 0.0000 0.0000  -0.01

14.
A relaxed ThOsS3 crystal, computed with PBE.

Output
* E_tot: -0.4781 Ry per atom
* total moment: 0.8 μB per cell

Cell lengths 7.8253, 7.8253, 5.6616 Å; angles 90.00, 90.00, 120.01 degrees
Site moments in Bohr magnetons follow the coordinates.
Fractional positions:
1 S 0.1414 0.8586 0.7500  0.00
2 S 0.7171 0.8585 0.7500  0.00
3 S 0.8585 0.7171 0.2500  0.00
4 S 0.2829 0.1415 0.2500  0.00
5 Os 0.0000 0.0000 0.0000  0.01
6 Os 0.0000 0.0000 0.5000  0.01
7 Th 0.6667 0.3333 0.2500  0.14
8 Th 0.3333 0.6667 0.7500  0.14
9 S 0.8586 0.1414 0.2500  0.00
10 S 0.1415 0.2829 0.7500  0.00

15.
A relaxed GdTm2In3Ni2Ag crystal, computed with PBE.

Output
* E_tot: -0.3258 Ry per atom
* total moment: 0.0 μB per cell

Cell lengths 3.7742, 7.6410, 7.6410 Å; angles 120.05, 90.00, 90.00 degrees
Fractional positions:
1 Gd 0.0000 0.4096 0.4096
2 Tm 0.0000 0.0006 0.5908
3 In 0.5000 0.2751 0.9980
4 In 0.5000 0.9980 0.2751
5 Ni 0.5000 0.3317 0.6691
6 Ni 0.5000 0.6691 0.3317
7 Ag 0.0000 0.9987 0.9987
8 Tm 0.0000 0.5908 0.0006
9 In 0.5000 0.7264 0.7264

16.
A relaxed La2Re2Ge crystal, computed with PBE.

Output
* E_tot: -0.5289 Ry per atom
* total moment: 0.0 μB per cell

Cell lengths 5.5952, 5.5952, 4.7105 Å; angles 90.00, 90.00, 90.00 degrees
Fractional positions:
1 Re 0.5000 0.5000 0.2618
2 Re 0.5000 0.5000 0.7382
3 Ge 0.0000 0.0000 0.0000
4 La 0.0000 0.5000 0.5000
5 La 0.5000 0.0000 0.5000

17.
A relaxed NdDyZn2Sn2 crystal, computed with PBE.

Output
* offset from the most stable computed form: 0.0 kJ/mol of atoms
* total moment: 0.0 μB per cell

Cell lengths 4.5366, 4.5366, 16.2258 Å; angles 90.00, 90.00, 120.00 degrees
Fractional positions:
1 Zn 0.3333 0.6667 0.8380
2 Sn 0.3333 0.6667 0.3820
3 Sn 0.6667 0.3333 0.6180
4 Zn 0.6667 0.3333 0.1620
5 Sn 0.3333 0.6667 0.1180
6 Dy 0.0000 0.0000 0.2500
7 Zn 0.3333 0.6667 0.6620
8 Nd 0.0000 0.0000 0.0000
9 Dy 0.0000 0.0000 0.7500
10 Nd 0.0000 0.0000 0.5000
11 Zn 0.6667 0.3333 0.3380
12 Sn 0.6667 0.3333 0.8820

18.
A relaxed Li4TcHg2 crystal, computed with PBE.

Output
* E_tot: -0.1562 Ry per atom
* total moment: 1.6 μB per cell

Cell lengths 7.5923, 7.5923, 7.5923 Å; angles 145.21, 145.21, 50.03 degrees
Site moments in Bohr magnetons follow the coordinates.
Fractional positions:
1 Li 0.1907 0.1907 0.0000  0.00
2 Li 0.8093 0.8093 0.0000  0.00
3 Tc 0.0000 0.0000 0.0000  1.58
4 Hg 0.6126 0.6126 0.0000  -0.01
5 Li 0.5000 0.0000 0.5000  0.00
6 Hg 0.3874 0.3874 0.0000  -0.01
7 Li 0.0000 0.5000 0.5000  0.00

19.
A relaxed ZnTe crystal, computed with PBE.

Output
* E_tot: -0.1742 Ry per atom

Cell lengths 5.5658, 6.3548, 5.5374 Å; angles 90.00, 90.00, 90.00 degrees
Fractional positions:
1 Zn 0.4193 0.2916 0.0000
2 Zn 0.9141 0.2916 0.5000
3 Zn 0.9193 0.9584 0.0000
4 Te 0.9184 0.3938 0.0000
5 Te 0.9150 0.8562 0.5000
6 Te 0.4184 0.8562 0.0000
7 Zn 0.4141 0.9584 0.5000
8 Te 0.4150 0.3938 0.5000

20.
A relaxed YNb2B crystal, computed with PBE.

Output
* E_tot: -0.5680 Ry per atom
* total moment: 0.0 μB per cell

Cell lengths 4.6281, 4.6281, 4.6281 Å; angles 60.00, 60.00, 60.00 degrees
Fractional positions:
1 Nb 0.0000 0.0000 0.0000
2 Y 0.2500 0.2500 0.2500
3 Nb 0.7500 0.7500 0.7500
4 B 0.5000 0.5000 0.5000